Material: LaAl20Cr2
Method: DFT, PBEsol
State: relaxed

Calculated volume = 16.2 A^3/atom
E = -4.836 eV/atom
ρ = 3.5 Mg/m³
D(E_F) = 23.08 states/eV per cell
Formation energy = -3.581 kcal/mol of atoms

Cell: 10.179 10.179 10.179 Å, 60.00 60.00 60.00°
Element x y z (fractional)
La 0.125 0.125 0.125
La 0.875 0.875 0.875
Al 0.000 0.000 0.000
Al 0.000 0.000 0.500
Al 0.000 0.500 0.000
Al 0.057 0.327 0.327
Al 0.057 0.327 0.788
Al 0.057 0.788 0.327
Al 0.212 0.673 0.673
Al 0.212 0.673 0.943
Al 0.212 0.943 0.673
Al 0.239 0.239 0.511
Al 0.239 0.511 0.239
Al 0.239 0.511 0.511
Al 0.327 0.057 0.327
Al 0.327 0.057 0.788
Al 0.327 0.327 0.057
Al 0.327 0.327 0.788
Al 0.327 0.788 0.057
Al 0.327 0.788 0.327
Al 0.489 0.489 0.761
Al 0.489 0.761 0.489
Al 0.489 0.761 0.761
Al 0.500 0.000 0.000
Al 0.511 0.239 0.239
Al 0.511 0.239 0.511
Al 0.511 0.511 0.239
Al 0.673 0.212 0.673
Al 0.673 0.212 0.943
Al 0.673 0.673 0.212
Al 0.673 0.673 0.943
Al 0.673 0.943 0.212
Al 0.673 0.943 0.673
Al 0.761 0.489 0.489
Al 0.761 0.489 0.761
Al 0.761 0.761 0.489
Al 0.788 0.057 0.327
Al 0.788 0.327 0.057
Al 0.788 0.327 0.327
Al 0.943 0.212 0.673
Al 0.943 0.673 0.212
Al 0.943 0.673 0.673
Cr 0.000 0.500 0.500
Cr 0.500 0.000 0.500
Cr 0.500 0.500 0.000
Cr 0.500 0.500 0.500